(1)
# LiAcCl3, optimized geometry, DFT PBE
# **Formation energy (no corrections)**: -1.735 eV per atom
# **Space group**: No. 221
data_LiAcCl3
_chemical_formula_sum 'Li1 Ac1 Cl3'
_cell_length_a 4.804
_cell_length_b 4.804
_cell_length_c 4.804
_cell_angle_alpha 90.00
_cell_angle_beta 90.00
_cell_angle_gamma 90.00
_space_group_name_H-M_alt 'P 1'
_space_group_IT_number 1
_space_group_name_Hall 'P 1'
loop_
_atom_site_label
_atom_site_type_symbol
_atom_site_fract_x
_atom_site_fract_y
_atom_site_fract_z
Li1 Li 0.000 0.000 0.000
Ac1 Ac 0.500 0.500 0.500
Cl1 Cl 0.000 0.000 0.500
Cl2 Cl 0.000 0.500 0.000
Cl3 Cl 0.500 0.000 0.000

(2)
# LiAcCl4, optimized geometry, DFT PBE
# **Offset from the most stable computed form**: 0 meV per atom
# **Formation energy (no corrections)**: -2.197 eV per atom
# **Space group**: No. 8
data_LiAcCl4
_chemical_formula_sum 'Li1 Ac1 Cl4'
_cell_length_a 4.969
_cell_length_b 4.969
_cell_length_c 6.892
_cell_angle_alpha 100.34
_cell_angle_beta 100.34
_cell_angle_gamma 88.60
_space_group_name_H-M_alt 'P 1'
_space_group_IT_number 1
_space_group_name_Hall 'P 1'
loop_
_atom_site_label
_atom_site_type_symbol
_atom_site_fract_x
_atom_site_fract_y
_atom_site_fract_z
Li1 Li 0.000 0.000 0.000
Ac1 Ac 0.503 0.503 0.498
Cl1 Cl 0.065 0.576 0.754
Cl2 Cl 0.429 0.940 0.242
Cl3 Cl 0.576 0.065 0.754
Cl4 Cl 0.940 0.429 0.242

(3)
# Li2AcMnCl8, optimized geometry, DFT PBE
# **Formation energy (no corrections)**: -1.558 eV per atom
# **Space group**: No. 147
data_Li2AcMnCl8
_chemical_formula_sum 'Li2 Ac1 Mn1 Cl8'
_cell_length_a 6.171
_cell_length_b 6.171
_cell_length_c 8.021
_cell_angle_alpha 90.00
_cell_angle_beta 90.00
_cell_angle_gamma 120.00
_space_group_name_H-M_alt 'P 1'
_space_group_IT_number 1
_space_group_name_Hall 'P 1'
loop_
_atom_site_label
_atom_site_type_symbol
_atom_site_fract_x
_atom_site_fract_y
_atom_site_fract_z
Li1 Li 0.333 0.667 0.197
Li2 Li 0.667 0.333 0.803
Ac1 Ac 0.000 0.000 0.500
Mn1 Mn 0.000 0.000 0.000
Cl1 Cl 0.039 0.728 0.824
Cl2 Cl 0.272 0.311 0.824
Cl3 Cl 0.311 0.039 0.176
Cl4 Cl 0.333 0.667 0.485
Cl5 Cl 0.667 0.333 0.515
Cl6 Cl 0.689 0.961 0.824
Cl7 Cl 0.728 0.689 0.176
Cl8 Cl 0.961 0.272 0.176

(4)
# Li2AcNpCl8, optimized geometry, DFT PBE
# **Formation energy (no corrections)**: -1.932 eV per atom
# **Space group**: No. 12
data_Li2AcNpCl8
_chemical_formula_sum 'Li2 Ac1 Np1 Cl8'
_cell_length_a 6.300
_cell_length_b 6.300
_cell_length_c 9.111
_cell_angle_alpha 90.15
_cell_angle_beta 90.15
_cell_angle_gamma 79.26
_space_group_name_H-M_alt 'P 1'
_space_group_IT_number 1
_space_group_name_Hall 'P 1'
loop_
_atom_site_label
_atom_site_type_symbol
_atom_site_fract_x
_atom_site_fract_y
_atom_site_fract_z
Li1 Li 0.111 0.111 0.244
Li2 Li 0.889 0.889 0.756
Ac1 Ac 0.500 0.500 0.500
Np1 Np 0.500 0.500 0.000
Cl1 Cl 0.208 0.208 0.481
Cl2 Cl 0.225 0.225 0.016
Cl3 Cl 0.280 0.719 0.761
Cl4 Cl 0.281 0.720 0.239
Cl5 Cl 0.719 0.280 0.761
Cl6 Cl 0.720 0.281 0.239
Cl7 Cl 0.775 0.775 0.984
Cl8 Cl 0.792 0.792 0.519

(5)
# LiAc2Cl2O2, optimized geometry, DFT PBE
# **Formation energy (no corrections)**: -2.529 eV per atom
# **Space group**: No. 164
data_LiAc2Cl2O2
_chemical_formula_sum 'Li1 Ac2 Cl2 O2'
_cell_length_a 4.252
_cell_length_b 4.252
_cell_length_c 11.807
_cell_angle_alpha 90.00
_cell_angle_beta 90.00
_cell_angle_gamma 120.00
_space_group_name_H-M_alt 'P 1'
_space_group_IT_number 1
_space_group_name_Hall 'P 1'
loop_
_atom_site_label
_atom_site_type_symbol
_atom_site_fract_x
_atom_site_fract_y
_atom_site_fract_z
Li1 Li 0.000 0.000 0.000
Ac1 Ac 0.333 0.667 0.628
Ac2 Ac 0.667 0.333 0.372
Cl1 Cl 0.000 0.000 0.201
Cl2 Cl 0.000 0.000 0.799
O1 O 0.333 0.667 0.419
O2 O 0.667 0.333 0.581

(6)
# LiAcCl2O, optimized geometry, DFT PBE
# **Formation energy (no corrections)**: -2.571 eV per atom
# **Space group**: No. 129
data_LiAcCl2O
_chemical_formula_sum 'Li2 Ac2 Cl4 O2'
_cell_length_a 4.199
_cell_length_b 4.199
_cell_length_c 12.117
_cell_angle_alpha 90.00
_cell_angle_beta 90.00
_cell_angle_gamma 90.00
_space_group_name_H-M_alt 'P 1'
_space_group_IT_number 1
_space_group_name_Hall 'P 1'
loop_
_atom_site_label
_atom_site_type_symbol
_atom_site_fract_x
_atom_site_fract_y
_atom_site_fract_z
Li1 Li 0.250 0.250 0.087
Li2 Li 0.750 0.750 0.913
Ac1 Ac 0.250 0.250 0.608
Ac2 Ac 0.750 0.750 0.392
Cl1 Cl 0.250 0.250 0.283
Cl2 Cl 0.250 0.250 0.894
Cl3 Cl 0.750 0.750 0.106
Cl4 Cl 0.750 0.750 0.717
O1 O 0.250 0.750 0.500
O2 O 0.750 0.250 0.500

(7)
# Li2AcScCl8, optimized geometry, DFT PBE
# **Formation energy (no corrections)**: -1.972 eV per atom
# **Space group**: No. 147
data_Li2AcScCl8
_chemical_formula_sum 'Li2 Ac1 Sc1 Cl8'
_cell_length_a 6.270
_cell_length_b 6.270
_cell_length_c 8.406
_cell_angle_alpha 90.00
_cell_angle_beta 90.00
_cell_angle_gamma 120.00
_space_group_name_H-M_alt 'P 1'
_space_group_IT_number 1
_space_group_name_Hall 'P 1'
loop_
_atom_site_label
_atom_site_type_symbol
_atom_site_fract_x
_atom_site_fract_y
_atom_site_fract_z
Li1 Li 0.333 0.667 0.223
Li2 Li 0.667 0.333 0.777
Ac1 Ac 0.000 0.000 0.500
Sc1 Sc 0.000 0.000 0.000
Cl1 Cl 0.029 0.712 0.811
Cl2 Cl 0.288 0.317 0.811
Cl3 Cl 0.317 0.029 0.189
Cl4 Cl 0.333 0.667 0.493
Cl5 Cl 0.667 0.333 0.507
Cl6 Cl 0.683 0.971 0.811
Cl7 Cl 0.712 0.683 0.189
Cl8 Cl 0.971 0.288 0.189

(8)
# Li2Ac2Se3Cl2, optimized geometry, DFT PBE
# **Formation energy (no corrections)**: -1.730 eV per atom
# **Space group**: No. 139
data_Li2Ac2Se3Cl2
_chemical_formula_sum 'Li2 Ac2 Se3 Cl2'
_cell_length_a 10.336
_cell_length_b 10.336
_cell_length_c 10.336
_cell_angle_alpha 151.62
_cell_angle_beta 151.62
_cell_angle_gamma 40.57
_space_group_name_H-M_alt 'P 1'
_space_group_IT_number 1
_space_group_name_Hall 'P 1'
loop_
_atom_site_label
_atom_site_type_symbol
_atom_site_fract_x
_atom_site_fract_y
_atom_site_fract_z
Li1 Li 0.000 0.500 0.500
Li2 Li 0.500 0.000 0.500
Ac1 Ac 0.166 0.166 0.000
Ac2 Ac 0.834 0.834 0.000
Se1 Se 0.000 0.000 0.000
Se2 Se 0.250 0.750 0.500
Se3 Se 0.750 0.250 0.500
Cl1 Cl 0.408 0.408 0.000
Cl2 Cl 0.592 0.592 0.000

(9)
# Li2AcSnCl8, optimized geometry, DFT PBE
# **Formation energy (no corrections)**: -1.536 eV per atom
# **Space group**: No. 147
data_Li2AcSnCl8
_chemical_formula_sum 'Li2 Ac1 Sn1 Cl8'
_cell_length_a 6.329
_cell_length_b 6.329
_cell_length_c 8.696
_cell_angle_alpha 90.00
_cell_angle_beta 90.00
_cell_angle_gamma 120.00
_space_group_name_H-M_alt 'P 1'
_space_group_IT_number 1
_space_group_name_Hall 'P 1'
loop_
_atom_site_label
_atom_site_type_symbol
_atom_site_fract_x
_atom_site_fract_y
_atom_site_fract_z
Li1 Li 0.333 0.667 0.237
Li2 Li 0.667 0.333 0.763
Ac1 Ac 0.000 0.000 0.500
Sn1 Sn 0.000 0.000 0.000
Cl1 Cl 0.025 0.707 0.795
Cl2 Cl 0.293 0.318 0.795
Cl3 Cl 0.318 0.025 0.205
Cl4 Cl 0.333 0.667 0.497
Cl5 Cl 0.667 0.333 0.503
Cl6 Cl 0.682 0.975 0.795
Cl7 Cl 0.707 0.682 0.205
Cl8 Cl 0.975 0.293 0.205

(10)
# LiAcTl2Cl6, optimized geometry, DFT PBE
# **Formation energy (no corrections)**: -1.722 eV per atom
# **Space group**: No. 14
data_LiAcTl2Cl6
_chemical_formula_sum 'Li2 Ac2 Tl4 Cl12'
_cell_length_a 7.439
_cell_length_b 7.726
_cell_length_c 12.890
_cell_angle_alpha 90.00
_cell_angle_beta 124.54
_cell_angle_gamma 90.00
_space_group_name_H-M_alt 'P 1'
_space_group_IT_number 1
_space_group_name_Hall 'P 1'
loop_
_atom_site_label
_atom_site_type_symbol
_atom_site_fract_x
_atom_site_fract_y
_atom_site_fract_z
Li1 Li 0.000 0.000 0.000
Li2 Li 0.000 0.500 0.500
Ac1 Ac 0.500 0.000 0.500
Ac2 Ac 0.500 0.500 0.000
Tl1 Tl 0.227 0.065 0.746
Tl2 Tl 0.227 0.435 0.246
Tl3 Tl 0.773 0.565 0.754
Tl4 Tl 0.773 0.935 0.254
Cl1 Cl 0.140 0.209 0.452
Cl2 Cl 0.140 0.291 0.952
Cl3 Cl 0.242 0.694 0.452
Cl4 Cl 0.242 0.806 0.952
Cl5 Cl 0.332 0.024 0.237
Cl6 Cl 0.332 0.476 0.737
Cl7 Cl 0.668 0.524 0.263
Cl8 Cl 0.668 0.976 0.763
Cl9 Cl 0.758 0.194 0.048
Cl10 Cl 0.758 0.306 0.548
Cl11 Cl 0.860 0.709 0.048
Cl12 Cl 0.860 0.791 0.548

(11)
# Ac3LuCl, optimized geometry, DFT PBE
# **Formation energy (no corrections)**: -0.426 eV per atom
# **Space group**: No. 221
data_Ac3LuCl
_chemical_formula_sum 'Ac3 Lu1 Cl1'
_cell_length_a 5.795
_cell_length_b 5.795
_cell_length_c 5.795
_cell_angle_alpha 90.00
_cell_angle_beta 90.00
_cell_angle_gamma 90.00
_space_group_name_H-M_alt 'P 1'
_space_group_IT_number 1
_space_group_name_Hall 'P 1'
loop_
_atom_site_label
_atom_site_type_symbol
_atom_site_fract_x
_atom_site_fract_y
_atom_site_fract_z
Ac1 Ac 0.000 0.000 0.500
Ac2 Ac 0.000 0.500 0.000
Ac3 Ac 0.500 0.000 0.000
Lu1 Lu 0.500 0.500 0.500
Cl1 Cl 0.000 0.000 0.000

(12)
# Ac2MgCl, optimized geometry, DFT PBE
# **Formation energy (no corrections)**: -0.612 eV per atom
# **Space group**: No. 166
data_Ac2MgCl
_chemical_formula_sum 'Ac2 Mg1 Cl1'
_cell_length_a 8.343
_cell_length_b 8.343
_cell_length_c 8.343
_cell_angle_alpha 31.31
_cell_angle_beta 31.31
_cell_angle_gamma 31.31
_space_group_name_H-M_alt 'P 1'
_space_group_IT_number 1
_space_group_name_Hall 'P 1'
loop_
_atom_site_label
_atom_site_type_symbol
_atom_site_fract_x
_atom_site_fract_y
_atom_site_fract_z
Ac1 Ac 0.239 0.239 0.239
Ac2 Ac 0.761 0.761 0.761
Mg1 Mg 0.000 0.000 0.000
Cl1 Cl 0.500 0.500 0.500